1.
Compound: Zr5Mn3Nb12
Source: Alexandria via LeMat-Bulk
Functional: PBE
Structure: optimized geometry

The space group is Ia-3d (No. 230) and the conventional cell measures 15.5332, 15.5332 and 15.5332 Å, with angles of 90.00, 90.00 and 90.00 degrees. The inequivalent atoms are Zr at (0.0000, 0.0000, 0.0000), Zr at (0.0000, 0.2500, 0.3750), Mn at (0.0000, 0.2500, 0.1250) and Nb at (0.0085, 0.0999, 0.6445).

Its crystal system is cubic. For the spin magnetization, the calculation gives 50.236 μB per cell. For the formation energy, the calculation gives 1.29 eV per atom. The calculation puts the uncorrected energy at -8.27 eV/atom.



2.
Compound: Na2TlIn4
Source: Alexandria via LeMat-Bulk
Functional: PBE
Structure: optimized geometry

The space group is Cmmm (No. 65) and the conventional cell measures 6.1920, 13.6475 and 5.6214 Å, with angles of 90.00, 90.00 and 90.00 degrees. The inequivalent atoms are Na at (0.0000, 0.1407, 0.0000), Tl at (0.0000, 0.5000, 0.5000), In at (0.0000, 0.2756, 0.5000) and In at (0.0000, 0.3890, 0.0000).

Its crystal system is orthorhombic. For the spin magnetization, the calculation gives 0.000 μB per cell. The energy relative to the lowest polymorph listed for this composition comes out at 104.2 meV per atom. For the formation energy, the calculation gives 0.08 eV per atom. The calculation puts the uncorrected energy at -2.20 eV/atom.



3.
Compound: LiTm4Ru3
Source: Alexandria via LeMat-Bulk
Functional: PBE
Structure: optimized geometry

The space group is C2/m (No. 12) and the conventional cell measures 14.5122, 4.7734 and 4.7733 Å, with angles of 90.00, 109.14 and 90.00 degrees. The inequivalent atoms are Li at (0.0000, 0.0000, 0.0000), Tm at (0.1303, 0.0000, 0.6304), Tm at (0.1303, 0.5000, 0.1306), Ru at (0.0000, 0.5000, 0.5000) and Ru at (0.2483, 0.0000, 0.2483).

Its crystal system is monoclinic. For the spin magnetization, the calculation gives 0.000 μB per cell. For the formation energy, the calculation gives -0.40 eV per atom. The calculation puts the uncorrected energy at -6.35 eV/atom.



4.
Compound: CdSbAuI2
Source: Alexandria via LeMat-Bulk
Functional: PBE
Structure: optimized geometry

The space group is P4/mmm (No. 123) and the conventional cell measures 5.7085, 5.7085 and 5.5243 Å, with angles of 90.00, 90.00 and 90.00 degrees. The inequivalent atoms are Cd at (0.0000, 0.0000, 0.0000), Sb at (0.5000, 0.5000, 0.0000), Au at (0.5000, 0.5000, 0.5000) and I at (0.0000, 0.5000, 0.5000).

Its crystal system is tetragonal. For the spin magnetization, the calculation gives 1.072 μB per cell. The energy relative to the lowest polymorph listed for this composition comes out at 0.0 meV per atom. The calculation puts the uncorrected energy at -1.95 eV/atom.



5.
Compound: Cu2TcH2
Source: Alexandria via LeMat-Bulk
Functional: PBE
Structure: optimized geometry

The space group is P4/mbm (No. 127) and the conventional cell measures 5.0148, 5.0148 and 3.6920 Å, with angles of 90.00, 90.00 and 90.00 degrees. The inequivalent atoms are Cu at (0.1813, 0.3187, 0.0000), Tc at (0.0000, 0.0000, 0.5000) and H at (0.1665, 0.3335, 0.5000).

Its crystal system is tetragonal. For the spin magnetization, the calculation gives 0.000 μB per cell. The calculation puts the uncorrected energy at -4.78 eV/atom.



6.
Compound: La2Pr3SmY6
Source: Alexandria via LeMat-Bulk
Functional: PBE
Structure: optimized geometry

The space group is C2/m (No. 12) and the conventional cell measures 6.3282, 10.9597 and 11.9333 Å, with angles of 90.00, 100.16 and 90.00 degrees. The inequivalent atoms are La at (0.0000, 0.1664, 0.0000), Pr at (0.0000, 0.0000, 0.5000), Pr at (0.0000, 0.3334, 0.5000), Sm at (0.0000, 0.5000, 0.0000), Y at (0.2490, 0.5000, 0.7496) and Y at (0.2502, 0.1663, 0.7497).

Its crystal system is monoclinic. For the spin magnetization, the calculation gives 0.000 μB per cell. For the formation energy, the calculation gives 0.01 eV per atom. The calculation puts the uncorrected energy at -5.63 eV/atom.



7.
Compound: SnSeI3
Source: Alexandria via LeMat-Bulk
Functional: PBE
Structure: optimized geometry

The space group is Pm-3m (No. 221) and the conventional cell measures 5.7719, 5.7719 and 5.7719 Å, with angles of 90.00, 90.00 and 90.00 degrees. The inequivalent atoms are Sn at (0.0000, 0.0000, 0.0000), Se at (0.5000, 0.5000, 0.5000) and I at (0.0000, 0.5000, 0.5000).

Its crystal system is cubic. For the spin magnetization, the calculation gives 0.654 μB per cell. The energy relative to the lowest polymorph listed for this composition comes out at 6.0 meV per atom. The calculation puts the uncorrected energy at -2.19 eV/atom.



8.
Compound: Sm2Ge3Au9
Source: Alexandria via LeMat-Bulk
Functional: PBE
Structure: optimized geometry

The space group is C2/c (No. 15) and the conventional cell measures 14.1186, 8.1713 and 10.8478 Å, with angles of 90.00, 116.40 and 90.00 degrees. The inequivalent atoms are Sm at (0.1624, 0.0832, 0.2448), Ge at (0.0838, 0.2175, 0.4889), Ge at (0.2500, 0.2500, 0.0000), Au at (0.0000, 0.3687, 0.2500), Au at (0.0583, 0.0942, 0.9086), Au at (0.1176, 0.3135, 0.7335), Au at (0.1180, 0.4050, 0.0806) and Au at (0.2238, 0.4137, 0.4217).

Its crystal system is monoclinic. For the spin magnetization, the calculation gives 0.000 μB per cell. For the formation energy, the calculation gives -0.38 eV per atom. The calculation puts the uncorrected energy at -4.16 eV/atom.



9.
Compound: TbCeEuLu
Source: Alexandria via LeMat-Bulk
Functional: PBE
Structure: optimized geometry

The space group is F-43m (No. 216) and the conventional cell measures 8.0973, 8.0973 and 8.0973 Å, with angles of 90.00, 90.00 and 90.00 degrees. The inequivalent atoms are Tb at (0.0000, 0.0000, 0.0000), Ce at (0.2500, 0.2500, 0.2500), Eu at (0.2500, 0.2500, 0.7500) and Lu at (0.0000, 0.0000, 0.5000).

Its crystal system is cubic. For the spin magnetization, the calculation gives 23.671 μB per cell. For the formation energy, the calculation gives 0.22 eV per atom. The calculation puts the uncorrected energy at -6.12 eV/atom.



10.
Compound: CsLiTlI3
Source: Alexandria via LeMat-Bulk
Functional: PBE
Structure: optimized geometry

The space group is Cmcm (No. 63) and the conventional cell measures 4.9361, 16.6908 and 13.5046 Å, with angles of 90.00, 90.00 and 90.00 degrees. The inequivalent atoms are Cs at (0.0000, 0.2425, 0.2500), Li at (0.0000, 0.0392, 0.7500), Tl at (0.0000, 0.5000, 0.0000), I at (0.0000, 0.1350, 0.5837) and I at (0.0000, 0.4448, 0.7500).

Its crystal system is orthorhombic. For the spin magnetization, the calculation gives 0.000 μB per cell. The calculation puts the uncorrected energy at -2.77 eV/atom.



11.
Compound: Pm3GeBi2
Source: Alexandria via LeMat-Bulk
Functional: PBE
Structure: optimized geometry

The space group is C2/m (No. 12) and the conventional cell measures 7.7123, 13.3469 and 7.8087 Å, with angles of 90.00, 109.23 and 90.00 degrees. The inequivalent atoms are Pm at (0.2297, 0.0000, 0.2301), Pm at (0.2478, 0.1734, 0.7640), Ge at (0.0000, 0.1677, 0.0000), Bi at (0.0000, 0.0000, 0.5000), Bi at (0.0000, 0.3402, 0.5000) and Bi at (0.0000, 0.5000, 0.0000).

Its crystal system is monoclinic. For the spin magnetization, the calculation gives 0.000 μB per cell. For the formation energy, the calculation gives -0.84 eV per atom. The calculation puts the uncorrected energy at -5.28 eV/atom.



12.
Compound: LaBr2
Source: Alexandria via LeMat-Bulk
Functional: PBE
Structure: optimized geometry

The space group is Cm (No. 8) and the conventional cell measures 14.8959, 4.0101 and 8.2045 Å, with angles of 90.00, 121.89 and 90.00 degrees. The inequivalent atoms are La at (0.0000, 0.0000, 0.0000), La at (0.1517, 0.5000, 0.5235), Br at (0.0744, 0.0000, 0.7043), Br at (0.1790, 0.5000, 0.1856), Br at (0.3397, 0.0000, 0.6853) and Br at (0.4274, 0.0000, 0.1903).

Its crystal system is monoclinic. For the spin magnetization, the calculation gives 0.745 μB per cell. The calculation puts the uncorrected energy at -4.52 eV/atom.